24
Lattice="12.762 0.000 0.000 0.000 3.246 0.000 0.000 0.000 10.399" Properties=species:S:1:pos:R:3 comment="CsAgPdO3 | OQMD | PBE | relaxed" e_tot_ev_per_atom=-4.477 pbc="T T T"
Cs 2.949 0.812 1.522
Cs 3.431 2.435 6.721
Cs 9.330 0.812 3.678
Cs 9.812 2.435 8.877
Ag 0.386 0.812 9.435
Ag 5.994 2.435 4.235
Ag 6.767 0.812 6.164
Ag 12.375 2.435 0.964
Pd 0.097 0.812 3.888
Pd 6.284 2.435 9.088
Pd 6.478 0.812 1.311
Pd 12.664 2.435 6.511
O 0.985 0.812 5.751
O 1.012 2.435 8.172
O 1.178 2.435 3.237
O 5.202 0.812 8.436
O 5.369 0.812 2.972
O 5.396 2.435 0.551
O 7.366 0.812 9.847
O 7.393 2.435 7.427
O 7.559 2.435 1.963
O 11.583 0.812 7.162
O 11.750 0.812 2.227
O 11.776 2.435 4.648